{"formula": "Pm6SnGe2Te3", "functional": "PBE", "state": "optimized geometry", "lattice": [[4.393, 0.000, 0.000], [0.000, 8.909, 0.259], [-2.197, -2.628, 9.311]], "species": ["Pm", "Pm", "Pm", "Pm", "Pm", "Pm", "Ge", "Ge", "Sn", "Te", "Te", "Te"], "fractional_positions": [[0.327, 0.431, 0.654], [0.992, 0.750, 0.984], [0.673, 0.569, 0.346], [0.008, 0.250, 0.016], [0.667, 0.103, 0.333], [0.333, 0.897, 0.667], [0.168, 0.335, 0.335], [0.832, 0.665, 0.665], [0.500, 0.000, 0.000], [0.835, 0.168, 0.671], [0.165, 0.832, 0.329], [0.500, 0.500, 0.000]], "dos_ef_per_ev_atom": 0.216, "raw_formation_energy_kj_per_mol_fu": -1367, "space_group": "C2/m, No. 12", "total_energy_ev_per_atom": -5.445, "total_magnetization_mub_per_atom": 0.000}